[1]
Crystalline Zn6Cu5Ni at its relaxed geometry, computed with PBE.

Summary:
As for the total DFT energy (no corrections): -2.940 eV/atom. The space group is Immm, No. 71. As for the energy above the most stable polymorph in this dataset: 0 meV per atom.

Cell lengths 7.1920, 7.1920, 7.1920 Å; angles 146.81, 130.00, 61.33 degrees
With the nearest neighbours (Å) after each atom.
Sites, in units of the cell vectors:
Zn 0.0826 0.3364 0.7462  1 Ni 2.52, 7 Cu 2.54-2.57
Zn 0.2424 0.0000 0.2424  2 Ni 2.53, 6 Cu 2.57-2.59
Zn 0.4099 0.6636 0.7462  1 Ni 2.52, 7 Cu 2.54-2.57
Zn 0.5901 0.3364 0.2538  1 Ni 2.52, 7 Cu 2.54-2.57
Zn 0.7576 0.0000 0.7576  2 Ni 2.53, 6 Cu 2.57-2.59
Zn 0.9174 0.6636 0.2538  1 Ni 2.52, 7 Cu 2.54-2.57
Cu 0.1703 0.1703 0.0000  8 Zn 2.54-2.57
Cu 0.3329 0.8329 0.5000  8 Zn 2.57-2.59, 2 Cu 2.88
Cu 0.5000 0.5000 0.0000  8 Zn 2.55-2.58
Cu 0.6671 0.1671 0.5000  8 Zn 2.57-2.59, 2 Cu 2.88
Cu 0.8297 0.8297 0.0000  8 Zn 2.54-2.57
Ni 0.0000 0.5000 0.5000  8 Zn 2.52-2.53

[2]
Crystalline SrZn2Tc at its relaxed geometry, computed with PBE.

Summary:
As for the total DFT energy (no corrections): -3.155 eV/atom. The space group is I-42d, No. 122. As for the energy above the most stable polymorph in this dataset: 300 meV per atom.

Cell lengths 4.7789, 4.7789, 17.8859 Å; angles 90.00, 90.00, 90.00 degrees
With the nearest neighbours (Å) after each atom.
Sites, in units of the cell vectors:
Sr 0.0000 0.0000 0.0000  8 Zn 3.31-3.67, 4 Tc 3.38
Sr 0.0000 0.5000 0.2500  8 Zn 3.31-3.67, 4 Tc 3.38
Sr 0.5000 0.0000 0.7500  8 Zn 3.31-3.67, 4 Tc 3.38
Sr 0.5000 0.5000 0.5000  8 Zn 3.31-3.67, 4 Tc 3.38
Zn 0.0561 0.2500 0.6250  2 Zn 2.45, 2 Tc 2.55
Zn 0.2500 0.5561 0.8750  2 Zn 2.45, 2 Tc 2.55
Zn 0.2500 0.9439 0.3750  2 Zn 2.45, 2 Tc 2.55
Zn 0.4439 0.2500 0.1250  2 Zn 2.45, 2 Tc 2.55
Zn 0.5561 0.7500 0.1250  2 Zn 2.45, 2 Tc 2.55
Zn 0.7500 0.0561 0.3750  2 Zn 2.45, 2 Tc 2.55
Zn 0.7500 0.4439 0.8750  2 Zn 2.45, 2 Tc 2.55
Zn 0.9439 0.7500 0.6250  2 Zn 2.45, 2 Tc 2.55
Tc 0.0000 0.0000 0.5000  4 Zn 2.55
Tc 0.0000 0.5000 0.7500  4 Zn 2.55
Tc 0.5000 0.0000 0.2500  4 Zn 2.55
Tc 0.5000 0.5000 0.0000  4 Zn 2.55

[3]
Crystalline Ac2H3Se at its relaxed geometry, computed with PBE.

Summary:
As for the total DFT energy (no corrections): -4.566 eV/atom. The space group is P6_3/mmc, No. 194.

Cell lengths 4.1876, 4.1876, 14.8304 Å; angles 90.00, 90.00, 120.00 degrees
With the nearest neighbours (Å) after each atom.
Sites, in units of the cell vectors:
Ac 0.3333 0.6667 0.1116  4 H 2.51-2.62
Ac 0.3333 0.6667 0.3884  4 H 2.51-2.62
Ac 0.6667 0.3333 0.6116  4 H 2.51-2.62
Ac 0.6667 0.3333 0.8884  4 H 2.51-2.62
H 0.0000 0.0000 0.0000  6 H 2.60
H 0.0000 0.0000 0.5000  6 H 2.60
H 0.3333 0.6667 0.5649  4 Ac 2.51-2.62, 3 H 2.60
H 0.3333 0.6667 0.9351  4 Ac 2.51-2.62, 3 H 2.60
H 0.6667 0.3333 0.0649  4 Ac 2.51-2.62, 3 H 2.60
H 0.6667 0.3333 0.4351  4 Ac 2.51-2.62, 3 H 2.60
Se 0.0000 0.0000 0.2500  6 Ac 3.17
Se 0.0000 0.0000 0.7500  6 Ac 3.17

[4]
Crystalline PaCuPt2O8 at its relaxed geometry, computed with PBE.

Summary:
As for the total DFT energy (no corrections): -6.397 eV/atom. The space group is I-4m2, No. 119.

Cell lengths 5.9389, 5.9389, 5.9389 Å; angles 109.81, 109.81, 108.79 degrees
With the nearest neighbours (Å) after each atom.
Sites, in units of the cell vectors:
Pa 0.0000 0.0000 0.0000  8 O 2.23-2.33
Cu 0.2500 0.7500 0.5000  8 O 2.18-2.30
Pt 0.5000 0.5000 0.0000  4 O 1.94
Pt 0.7500 0.2500 0.5000  4 O 1.91
O 0.2842 0.1019 0.8176  1 Pt 1.94
O 0.2842 0.4666 0.1824  1 Pt 1.94
O 0.3588 0.0340 0.3248  1 Pt 1.91
O 0.5334 0.7158 0.8176  1 Pt 1.94
O 0.7092 0.0340 0.6752  1 Pt 1.91
O 0.8981 0.7158 0.1824  1 Pt 1.94
O 0.9660 0.2908 0.3248  1 Pt 1.91
O 0.9660 0.6412 0.6752  1 Pt 1.91

[5]
Crystalline CuSnSb2I at its relaxed geometry, computed with PBE.

Summary:
As for the total DFT energy (no corrections): -3.183 eV/atom. The space group is P4/mmm, No. 123. As for the energy above the most stable polymorph in this dataset: 0 meV per atom.

Cell lengths 5.0941, 5.0941, 5.5648 Å; angles 90.00, 90.00, 90.00 degrees
With the nearest neighbours (Å) after each atom.
Sites, in units of the cell vectors:
Cu 0.0000 0.0000 0.0000  4 Sb 2.55, 2 I 2.78
Sn 0.5000 0.5000 0.5000  4 I 3.60, 8 Sb 3.77
Sb 0.0000 0.5000 0.0000  2 Cu 2.55
Sb 0.5000 0.0000 0.0000  2 Cu 2.55
I 0.0000 0.0000 0.5000  2 Cu 2.78

[6]
Crystalline LiCoIr2 at its relaxed geometry, computed with PBE.

Summary:
As for the total DFT energy (no corrections): -6.650 eV/atom. The space group is Imm2, No. 44. As for the energy above the most stable polymorph in this dataset: 69 meV per atom.

Cell lengths 2.8463, 4.1953, 8.3989 Å; angles 90.00, 90.00, 90.00 degrees
With the nearest neighbours (Å) after each atom.
Sites, in units of the cell vectors:
Li 0.0000 0.0000 0.0000  2 Co 2.42, 6 Ir 2.54-2.55
Li 0.5000 0.5000 0.5000  2 Co 2.42, 6 Ir 2.54-2.55
Co 0.0000 0.5000 0.7328  2 Li 2.42, 6 Ir 2.54-2.55
Co 0.5000 0.0000 0.2328  2 Li 2.42, 6 Ir 2.54-2.55
Ir 0.0000 0.0000 0.4845  4 Li 2.54, 2 Co 2.55, 2 Ir 2.63
Ir 0.0000 0.5000 0.2475  4 Co 2.54, 2 Li 2.55, 2 Ir 2.63
Ir 0.5000 0.0000 0.7475  4 Co 2.54, 2 Li 2.55, 2 Ir 2.63
Ir 0.5000 0.5000 0.9845  4 Li 2.54, 2 Co 2.55, 2 Ir 2.63

[7]
Crystalline MnTeRh2 at its relaxed geometry, computed with PBE.

Summary:
As for the total DFT energy (no corrections): -6.841 eV/atom. The space group is P4/mmm, No. 123.

Cell lengths 4.1993, 4.1993, 3.6614 Å; angles 90.00, 90.00, 90.00 degrees
With the nearest neighbours (Å) after each atom.
Sites, in units of the cell vectors:
Mn 0.0000 0.0000 0.0000  8 Rh 2.79, 4 Te 2.97
Te 0.5000 0.5000 0.0000  8 Rh 2.79, 4 Mn 2.97
Rh 0.0000 0.5000 0.5000  4 Mn 2.79, 4 Te 2.79, 4 Rh 2.97
Rh 0.5000 0.0000 0.5000  4 Mn 2.79, 4 Te 2.79, 4 Rh 2.97

[8]
Crystalline Co2BrCl at its relaxed geometry, computed with PBE.

Summary:
As for the total DFT energy (no corrections): -4.380 eV/atom. The space group is R3m, No. 160.

Cell lengths 3.5128, 3.5128, 22.0902 Å; angles 90.00, 90.00, 120.00 degrees
With the nearest neighbours (Å) after each atom.
Sites, in units of the cell vectors:
Co 0.0000 0.0000 0.0000  3 Co 2.31, 3 Cl 2.37
Co 0.0000 0.0000 0.2834  3 Co 2.31, 3 Br 2.44
Co 0.3333 0.6667 0.6667  3 Co 2.31, 3 Cl 2.37
Co 0.3333 0.6667 0.9501  3 Co 2.31, 3 Br 2.44
Co 0.6667 0.3333 0.3333  3 Co 2.31, 3 Cl 2.37
Co 0.6667 0.3333 0.6167  3 Co 2.31, 3 Br 2.44
Br 0.0000 0.0000 0.5556  3 Co 2.44
Br 0.3333 0.6667 0.2223  3 Co 2.44
Br 0.6667 0.3333 0.8890  3 Co 2.44
Cl 0.0000 0.0000 0.7218  3 Co 2.37
Cl 0.3333 0.6667 0.3885  3 Co 2.37
Cl 0.6667 0.3333 0.0551  3 Co 2.37